No. 1
VASP calculation (PBE) on a geometry-optimized NaTbPu2O8 structure.

Properties
The theoretical density comes out at 8948 kg/m³. Its total moment is 4.0 μB per formula unit. The value obtained for the formation energy (no corrections) is -2561 meV per atom. The space group is I-4m2.

Lattice parameters (Å, degrees): 5.3394 5.3394 6.4210 114.57 114.57 90.00
With the nearest neighbours (Å) after each atom.
Atoms (fractional coordinates):
O1 0.6018 0.6311 0.7527  2 Pu 2.21-2.22, 1 Tb 2.35, 1 Na 2.39, 1 O 2.41
O2 0.8784 0.8489 0.2469  2 Pu 2.21-2.22, 1 Tb 2.35, 1 Na 2.39, 1 O 2.41
O3 0.3689 0.8491 0.2473  2 Pu 2.21-2.22, 1 Tb 2.35, 1 Na 2.39, 1 O 2.41
O4 0.8785 0.3982 0.2473  2 Pu 2.21-2.22, 1 Tb 2.35, 1 Na 2.39, 1 O 2.41
O5 0.6020 0.1216 0.7531  2 Pu 2.21-2.22, 1 Tb 2.35, 1 Na 2.39, 1 O 2.41
O6 0.1511 0.6315 0.7531  2 Pu 2.21-2.22, 1 Tb 2.35, 1 Na 2.39, 1 O 2.41
O7 0.3685 0.3980 0.2469  2 Pu 2.21-2.22, 1 Tb 2.35, 1 Na 2.39, 1 O 2.41
O8 0.1509 0.1215 0.7527  2 Pu 2.21-2.22, 1 Tb 2.35, 1 Na 2.39, 1 O 2.41
Tb1 0.0000 0.0000 0.0000  8 O 2.35
Pu1 0.2500 0.7500 0.5000  8 O 2.21
Pu2 0.5000 0.5000 0.0000  8 O 2.22
Na1 0.7500 0.2500 0.5000  8 O 2.39

***

No. 2
VASP calculation (PBE) on a geometry-optimized K2RuBr8 structure.

Properties
The theoretical density comes out at 3005 kg/m³. Its total moment is 3.0 μB per formula unit. The value obtained for the formation energy (no corrections) is -670 meV per atom. The space group is C2/m.

Lattice parameters (Å, degrees): 5.8921 8.9645 8.9645 80.35 79.08 79.08
With the nearest neighbours (Å) after each atom.
Atoms (fractional coordinates):
Br1 0.2584 0.4985 0.4985  2 Br 2.86-3.03
Br2 0.7892 0.0859 0.7784  1 Ru 2.48
Br3 0.2108 0.2216 0.9141  1 Ru 2.48
Br4 0.7892 0.7784 0.0859  1 Ru 2.48
Br5 0.7416 0.5015 0.5015  2 Br 2.86-3.03
Br6 0.2108 0.9141 0.2216  1 Ru 2.48
Br7 0.6906 0.1651 0.1651  1 Ru 2.53
Br8 0.3094 0.8349 0.8349  1 Ru 2.53
K1 0.1178 0.2814 0.2814  6 Br 3.27-3.36
K2 0.8822 0.7186 0.7186  6 Br 3.27-3.36
Ru1 0.0000 0.0000 0.0000  6 Br 2.48-2.53

***

No. 3
VASP calculation (PBE) on a geometry-optimized LiDy2Ga2 structure.

Properties
The theoretical density comes out at 6767 kg/m³. The formation energy is -1.399 eV per formula unit. Its total moment is 0.0 μB per formula unit. The space group is Ibam.

Lattice parameters (Å, degrees): 5.9852 6.3585 7.4848 115.14 113.57 90.00
With the nearest neighbours (Å) after each atom.
Atoms (fractional coordinates):
Ga1 0.3916 0.6194 0.7831  2 Li 2.46
Ga2 0.1084 0.8363 0.2169  2 Li 2.46
Ga3 0.6084 0.3806 0.2169  2 Li 2.46
Ga4 0.8916 0.1637 0.7831  2 Li 2.46
Dy1 0.8505 0.6546 0.7011  5 Ga 2.95-3.17, 2 Li 3.05
Dy2 0.3505 0.0465 0.7011  5 Ga 2.95-3.17, 2 Li 3.05
Dy3 0.6495 0.9535 0.2989  5 Ga 2.95-3.17, 2 Li 3.05
Dy4 0.1495 0.3454 0.2989  5 Ga 2.95-3.17, 2 Li 3.05
Li1 0.2500 0.5000 0.0000  4 Ga 2.46
Li2 0.7500 0.5000 0.0000  4 Ga 2.46

***

No. 4
VASP calculation (PBE) on a geometry-optimized Co3BiSe structure.

Properties
For the energy above the lowest structure with this stoichiometry, the calculation gives 993 meV/atom. The theoretical density comes out at 6653 kg/m³. Its total moment is 5.2 μB per formula unit. The value obtained for the formation energy (no corrections) is 1523 meV per atom. The space group is Pm-3m.

Lattice parameters (Å, degrees): 4.8768 4.8768 4.8768 90.00 90.00 90.00
With the nearest neighbours (Å) after each atom.
Atoms (fractional coordinates):
Co1 0.5000 0.0000 0.0000  2 Bi 2.44
Co2 0.0000 0.5000 0.0000  2 Bi 2.44
Co3 0.0000 0.0000 0.5000  2 Bi 2.44
Se1 0.5000 0.5000 0.5000  12 Co 3.45
Bi1 0.0000 0.0000 0.0000  6 Co 2.44

***

No. 5
VASP calculation (PBE) on a geometry-optimized NbCrN2 structure.

Properties
The theoretical density comes out at 7688 kg/m³. Its total moment is 1.0 μB per formula unit. The value obtained for the formation energy (no corrections) is -107 meV per atom. The space group is Fm-3m.

Lattice parameters (Å, degrees): 3.7519 3.7519 3.7519 60.00 60.00 60.00
With the nearest neighbours (Å) after each atom.
Atoms (fractional coordinates):
N1 0.7500 0.7500 0.7500  4 Cr 2.30, 4 Nb 2.30
N2 0.2500 0.2500 0.2500  4 Nb 2.30, 4 Cr 2.30
Cr1 0.0000 0.0000 0.0000  8 N 2.30
Nb1 0.5000 0.5000 0.5000  8 N 2.30

***

No. 6
VASP calculation (PBE) on a geometry-optimized TaIn2Rh structure.

Properties
The theoretical density comes out at 11440 kg/m³. The formation energy is 0.889 eV per formula unit. Its total moment is 1.8 μB per formula unit. The space group is Fm-3m.

Lattice parameters (Å, degrees): 4.7238 4.7238 4.7238 60.00 60.00 60.00
With the nearest neighbours (Å) after each atom.
Atoms (fractional coordinates):
In1 0.2500 0.2500 0.2500  4 Ta 2.89, 4 Rh 2.89
In2 0.7500 0.7500 0.7500  4 Rh 2.89, 4 Ta 2.89
Ta1 0.5000 0.5000 0.5000  8 In 2.89
Rh1 0.0000 0.0000 0.0000  8 In 2.89

***

No. 7
VASP calculation (PBE) on a geometry-optimized Sr2SnAs3Pd4 structure.

Properties
The theoretical density comes out at 7407 kg/m³. The formation energy is -7.510 eV per formula unit. Its total moment is 0.0 μB per formula unit. The space group is P-4m2.

Lattice parameters (Å, degrees): 4.4493 4.4493 10.6953 90.00 90.00 90.00
With the nearest neighbours (Å) after each atom.
Atoms (fractional coordinates):
As1 0.0000 0.5000 0.1252  5 Pd 2.50-2.60
As2 0.0000 0.0000 0.5000  4 Pd 2.69
As3 0.5000 0.0000 0.8748  5 Pd 2.50-2.60
Pd1 0.5000 0.5000 0.0000  4 As 2.60
Pd2 0.5000 0.0000 0.6408  3 As 2.50-2.69, 2 Sn 2.69
Pd3 0.0000 0.0000 0.0000  4 As 2.60
Pd4 0.0000 0.5000 0.3592  3 As 2.50-2.69, 2 Sn 2.69
Sn1 0.5000 0.5000 0.5000  4 Pd 2.69
Sr1 0.0000 0.5000 0.7627  6 As 3.37-3.58, 8 Pd 3.38-3.41, 2 Sn 3.58
Sr2 0.5000 0.0000 0.2373  6 As 3.37-3.58, 8 Pd 3.38-3.41, 2 Sn 3.58

***

No. 8
VASP calculation (PBE) on a geometry-optimized Y3ErTm2Sb6 structure.

Properties
The theoretical density comes out at 7063 kg/m³. Its total moment is 0.0 μB per formula unit. The value obtained for the formation energy (no corrections) is -1121 meV per atom. The space group is C2/m.

Lattice parameters (Å, degrees): 7.5652 7.5652 7.5586 99.59 99.59 120.00
With the nearest neighbours (Å) after each atom.
Atoms (fractional coordinates):
Sb1 0.4161 0.0821 0.2464  2 Tm 3.07, 1 Er 3.08, 3 Y 3.10
Sb2 0.5839 0.9179 0.7536  2 Tm 3.07, 1 Er 3.08, 3 Y 3.10
Sb3 0.0821 0.4161 0.2464  2 Tm 3.07, 1 Er 3.08, 3 Y 3.10
Sb4 0.9179 0.5839 0.7536  2 Tm 3.07, 1 Er 3.08, 3 Y 3.10
Sb5 0.7482 0.7482 0.2463  2 Tm 3.07, 1 Er 3.08, 3 Y 3.10
Sb6 0.2518 0.2518 0.7537  2 Tm 3.07, 1 Er 3.08, 3 Y 3.10
Er1 0.0000 0.0000 0.0000  6 Sb 3.08
Tm1 0.6667 0.3333 0.0000  6 Sb 3.07
Tm2 0.3333 0.6667 0.0000  6 Sb 3.07
Y1 0.1665 0.8335 0.5000  6 Sb 3.10
Y2 0.5000 0.5000 0.5000  6 Sb 3.10
Y3 0.8335 0.1665 0.5000  6 Sb 3.10

***

Question: What is the total moment in the fifth record?
Answer: 1.0 μB per formula unit

***

What did the seventh record say?
VASP calculation (PBE) on a geometry-optimized Sr2SnAs3Pd4 structure.

Properties
The theoretical density comes out at 7407 kg/m³. The formation energy is -7.510 eV per formula unit. Its total moment is 0.0 μB per formula unit. The space group is P-4m2.

Lattice parameters (Å, degrees): 4.4493 4.4493 10.6953 90.00 90.00 90.00
With the nearest neighbours (Å) after each atom.
Atoms (fractional coordinates):
As1 0.0000 0.5000 0.1252  5 Pd 2.50-2.60
As2 0.0000 0.0000 0.5000  4 Pd 2.69
As3 0.5000 0.0000 0.8748  5 Pd 2.50-2.60
Pd1 0.5000 0.5000 0.0000  4 As 2.60
Pd2 0.5000 0.0000 0.6408  3 As 2.50-2.69, 2 Sn 2.69
Pd3 0.0000 0.0000 0.0000  4 As 2.60
Pd4 0.0000 0.5000 0.3592  3 As 2.50-2.69, 2 Sn 2.69
Sn1 0.5000 0.5000 0.5000  4 Pd 2.69
Sr1 0.0000 0.5000 0.7627  6 As 3.37-3.58, 8 Pd 3.38-3.41, 2 Sn 3.58
Sr2 0.5000 0.0000 0.2373  6 As 3.37-3.58, 8 Pd 3.38-3.41, 2 Sn 3.58

***

Question: Which of these has the highest total moment?
Answer: Co3BiSe